DFT (GGA-PBEsol) results for an optimized crystal structure of LiClF2.

```
data_LiClF2
_chemical_formula_sum 'Li3 Cl3 F6'
_symmetry_space_group_name_H-M 'R -3 m'
_symmetry_Int_Tables_number 166
_symmetry_space_group_name_Hall '-R 3 2"'
_cell_length_a 3.3115
_cell_length_b 3.3115
_cell_length_c 16.8178
_cell_angle_alpha 90.00
_cell_angle_beta 90.00
_cell_angle_gamma 120.00
loop_
_atom_site_label
_atom_site_fract_x
_atom_site_fract_y
_atom_site_fract_z
_atom_site_occupancy
Li1 0.0000 0.0000 0.0000 1
Cl1 0.0000 0.0000 0.5000 1
F1 0.0000 0.0000 0.3879 1
```

Properties
DOS at the Fermi energy, states/eV per atom: 0.0000
Crystal system: trigonal
Formation energy without anion corrections, meV/atom: -1642
Raw total energy, Ha/atom: -0.1323

DFT (GGA-PBEsol) results for an optimized crystal structure of MgClF3.

```
data_MgClF3
_chemical_formula_sum 'Mg1 Cl1 F3'
_symmetry_space_group_name_H-M 'P m -3 m'
_symmetry_Int_Tables_number 221
_symmetry_space_group_name_Hall '-P 4 2 3'
_cell_length_a 4.336
_cell_length_b 4.336
_cell_length_c 4.336
_cell_angle_alpha 90.00
_cell_angle_beta 90.00
_cell_angle_gamma 90.00
loop_
_atom_site_label
_atom_site_fract_x
_atom_site_fract_y
_atom_site_fract_z
_atom_site_occupancy
Mg1 0.000 0.000 0.000 1
Cl1 0.500 0.500 0.500 1
F1 0.000 0.500 0.500 1
```

Properties
DOS at the Fermi energy, states/eV per atom: 0.3448
Crystal system: cubic
Formation energy without anion corrections, meV/atom: -728
Raw total energy, Ha/atom: -0.0966

DFT (GGA-PBEsol) results for an optimized crystal structure of MgCl2F.

```
data_MgCl2F
_chemical_formula_sum 'Mg4 Cl8 F4'
_symmetry_space_group_name_H-M 'I -4 2 d'
_symmetry_Int_Tables_number 122
_symmetry_space_group_name_Hall 'I -4 2bw'
_cell_length_a 9.098
_cell_length_b 9.098
_cell_length_c 3.769
_cell_angle_alpha 90.00
_cell_angle_beta 90.00
_cell_angle_gamma 90.00
loop_
_atom_site_label
_atom_site_fract_x
_atom_site_fract_y
_atom_site_fract_z
_atom_site_occupancy
Mg1 0.000 0.000 0.000 1
Cl1 0.122 0.250 0.125 1
F1 0.000 0.000 0.500 1
```

Properties
DOS at the Fermi energy, states/eV per atom: 1.0169
Crystal system: tetragonal
Formation energy without anion corrections, meV/atom: -1626
Raw total energy, Ha/atom: -0.1301

DFT (GGA-PBEsol) results for an optimized crystal structure of MgSi2ClF.

```
data_MgSi2ClF
_chemical_formula_sum 'Mg1 Si2 Cl1 F1'
_symmetry_space_group_name_H-M 'P 4/m m m'
_symmetry_Int_Tables_number 123
_symmetry_space_group_name_Hall '-P 4 2'
_cell_length_a 4.654
_cell_length_b 4.654
_cell_length_c 5.181
_cell_angle_alpha 90.00
_cell_angle_beta 90.00
_cell_angle_gamma 90.00
loop_
_atom_site_label
_atom_site_fract_x
_atom_site_fract_y
_atom_site_fract_z
_atom_site_occupancy
Mg1 0.000 0.000 0.000 1
Si1 0.000 0.500 0.500 1
Cl1 0.000 0.000 0.500 1
F1 0.500 0.500 0.000 1
```

Properties
DOS at the Fermi energy, states/eV per atom: 0.7136
Crystal system: tetragonal
Formation energy without anion corrections, meV/atom: 613
Raw total energy, Ha/atom: -0.1035

DFT (GGA-PBEsol) results for an optimized crystal structure of MnCl2F.

```
data_MnCl2F
_chemical_formula_sum 'Mn3 Cl6 F3'
_symmetry_space_group_name_H-M 'R -3 m'
_symmetry_Int_Tables_number 166
_symmetry_space_group_name_Hall '-R 3 2"'
_cell_length_a 4.5837
_cell_length_b 4.5837
_cell_length_c 9.6628
_cell_angle_alpha 90.00
_cell_angle_beta 90.00
_cell_angle_gamma 120.00
loop_
_atom_site_label
_atom_site_fract_x
_atom_site_fract_y
_atom_site_fract_z
_atom_site_occupancy
Mn1 0.0000 0.0000 0.0000 1
Cl1 0.0000 0.0000 0.2465 1
F1 0.0000 0.0000 0.5000 1
```

Properties
DOS at the Fermi energy, states/eV per atom: 0.5130
Crystal system: trigonal
Formation energy without anion corrections, meV/atom: -575
Raw total energy, Ha/atom: -0.1654

DFT (GGA-PBEsol) results for an optimized crystal structure of MnPb2ClF.

```
data_MnPb2ClF
_chemical_formula_sum 'Mn1 Pb2 Cl1 F1'
_symmetry_space_group_name_H-M 'P 4/m m m'
_symmetry_Int_Tables_number 123
_symmetry_space_group_name_Hall '-P 4 2'
_cell_length_a 5.405
_cell_length_b 5.405
_cell_length_c 3.817
_cell_angle_alpha 90.00
_cell_angle_beta 90.00
_cell_angle_gamma 90.00
loop_
_atom_site_label
_atom_site_fract_x
_atom_site_fract_y
_atom_site_fract_z
_atom_site_occupancy
Mn1 0.000 0.000 0.000 1
Pb1 0.000 0.500 0.000 1
Cl1 0.500 0.500 0.500 1
F1 0.000 0.000 0.500 1
```

Properties
DOS at the Fermi energy, states/eV per atom: 0.4995
Crystal system: tetragonal
Formation energy without anion corrections, meV/atom: -539
Raw total energy, Ha/atom: -0.1793

DFT (GGA-PBEsol) results for an optimized crystal structure of MoS2ClF.

```
data_MoS2ClF
_chemical_formula_sum 'Mo1 S2 Cl1 F1'
_symmetry_space_group_name_H-M 'P 4/m m m'
_symmetry_Int_Tables_number 123
_symmetry_space_group_name_Hall '-P 4 2'
_cell_length_a 4.535
_cell_length_b 4.535
_cell_length_c 4.676
_cell_angle_alpha 90.00
_cell_angle_beta 90.00
_cell_angle_gamma 90.00
loop_
_atom_site_label
_atom_site_fract_x
_atom_site_fract_y
_atom_site_fract_z
_atom_site_occupancy
Mo1 0.000 0.000 0.000 1
S1 0.000 0.500 0.000 1
Cl1 0.000 0.000 0.500 1
F1 0.500 0.500 0.500 1
```

Properties
DOS at the Fermi energy, states/eV per atom: 0.7228
Crystal system: tetragonal
Formation energy without anion corrections, meV/atom: -267
Raw total energy, Ha/atom: -0.1897

DFT (GGA-PBEsol) results for an optimized crystal structure of RuN2ClF.

```
data_RuN2ClF
_chemical_formula_sum 'Ru1 N2 Cl1 F1'
_symmetry_space_group_name_H-M 'P 4/m m m'
_symmetry_Int_Tables_number 123
_symmetry_space_group_name_Hall '-P 4 2'
_cell_length_a 3.808
_cell_length_b 3.808
_cell_length_c 4.001
_cell_angle_alpha 90.00
_cell_angle_beta 90.00
_cell_angle_gamma 90.00
loop_
_atom_site_label
_atom_site_fract_x
_atom_site_fract_y
_atom_site_fract_z
_atom_site_occupancy
Ru1 0.000 0.000 0.000 1
N1 0.000 0.500 0.000 1
Cl1 0.500 0.500 0.500 1
F1 0.000 0.000 0.500 1
```

Properties
DOS at the Fermi energy, states/eV per atom: 0.5553
Crystal system: tetragonal
Formation energy without anion corrections, meV/atom: 454
Raw total energy, Ha/atom: -0.2123

DFT (GGA-PBEsol) results for an optimized crystal structure of ScN2ClF.

```
data_ScN2ClF
_chemical_formula_sum 'Sc1 N2 Cl1 F1'
_symmetry_space_group_name_H-M 'P 4/m m m'
_symmetry_Int_Tables_number 123
_symmetry_space_group_name_Hall '-P 4 2'
_cell_length_a 4.399
_cell_length_b 4.399
_cell_length_c 3.937
_cell_angle_alpha 90.00
_cell_angle_beta 90.00
_cell_angle_gamma 90.00
loop_
_atom_site_label
_atom_site_fract_x
_atom_site_fract_y
_atom_site_fract_z
_atom_site_occupancy
Sc1 0.000 0.000 0.000 1
N1 0.000 0.500 0.000 1
Cl1 0.500 0.500 0.500 1
F1 0.000 0.000 0.500 1
```

Properties
DOS at the Fermi energy, states/eV per atom: 0.8481
Crystal system: tetragonal
Formation energy without anion corrections, meV/atom: 1
Raw total energy, Ha/atom: -0.2028

DFT (GGA-PBEsol) results for an optimized crystal structure of SeN2ClF.

```
data_SeN2ClF
_chemical_formula_sum 'Se1 N2 Cl1 F1'
_symmetry_space_group_name_H-M 'P 4/m m m'
_symmetry_Int_Tables_number 123
_symmetry_space_group_name_Hall '-P 4 2'
_cell_length_a 3.932
_cell_length_b 3.932
_cell_length_c 3.860
_cell_angle_alpha 90.00
_cell_angle_beta 90.00
_cell_angle_gamma 90.00
loop_
_atom_site_label
_atom_site_fract_x
_atom_site_fract_y
_atom_site_fract_z
_atom_site_occupancy
Se1 0.000 0.000 0.000 1
N1 0.000 0.500 0.500 1
Cl1 0.500 0.500 0.500 1
F1 0.500 0.500 0.000 1
```

Properties
DOS at the Fermi energy, states/eV per atom: 0.5642
Crystal system: tetragonal
Formation energy without anion corrections, meV/atom: 1798
Raw total energy, Ha/atom: -0.1165

DFT (GGA-PBEsol) results for an optimized crystal structure of SnN2ClF.

```
data_SnN2ClF
_chemical_formula_sum 'Sn1 N2 Cl1 F1'
_symmetry_space_group_name_H-M 'P 4/m m m'
_symmetry_Int_Tables_number 123
_symmetry_space_group_name_Hall '-P 4 2'
_cell_length_a 4.243
_cell_length_b 4.243
_cell_length_c 4.120
_cell_angle_alpha 90.00
_cell_angle_beta 90.00
_cell_angle_gamma 90.00
loop_
_atom_site_label
_atom_site_fract_x
_atom_site_fract_y
_atom_site_fract_z
_atom_site_occupancy
Sn1 0.000 0.000 0.000 1
N1 0.000 0.500 0.000 1
Cl1 0.500 0.500 0.500 1
F1 0.000 0.000 0.500 1
```

Properties
DOS at the Fermi energy, states/eV per atom: 0.3401
Crystal system: tetragonal
Formation energy without anion corrections, meV/atom: 631
Raw total energy, Ha/atom: -0.1624

DFT (GGA-PBEsol) results for an optimized crystal structure of TeN2ClF.

```
data_TeN2ClF
_chemical_formula_sum 'Te1 N2 Cl1 F1'
_symmetry_space_group_name_H-M 'P 4/m m m'
_symmetry_Int_Tables_number 123
_symmetry_space_group_name_Hall '-P 4 2'
_cell_length_a 3.523
_cell_length_b 3.523
_cell_length_c 7.225
_cell_angle_alpha 90.00
_cell_angle_beta 90.00
_cell_angle_gamma 90.00
loop_
_atom_site_label
_atom_site_fract_x
_atom_site_fract_y
_atom_site_fract_z
_atom_site_occupancy
Te1 0.000 0.000 0.000 1
N1 0.000 0.500 0.500 1
Cl1 0.000 0.000 0.500 1
F1 0.500 0.500 0.000 1
```

Properties
DOS at the Fermi energy, states/eV per atom: 0.8322
Crystal system: tetragonal
Formation energy without anion corrections, meV/atom: 1736
Raw total energy, Ha/atom: -0.1164